Entry 1:
# Y2TaRh

A relaxed structure of Y2TaRh (PBE, Alexandria via LeMat-Bulk).

Cell and atoms, written as POSCAR:
```
Y2TaRh
1.0
0.000 3.473 3.473
3.473 0.000 3.473
3.473 3.473 0.000
Y Ta Rh
2 1 1
Cartesian
0.000 0.000 0.000
1.736 1.736 1.736
5.209 5.209 5.209
3.473 3.473 3.473
```

Values from the calculation:
symmetry: F-43m


Entry 2:
# Y2TaRh

A relaxed structure of Y2TaRh (PBE, Alexandria via LeMat-Bulk).

Cell and atoms, written as POSCAR:
```
Y2TaRh
1.0
-3.980 3.980 2.968
3.980 -3.980 2.968
3.980 3.980 -2.968
Y Ta Rh
4 2 2
Cartesian
5.970 1.638 -0.742
1.638 1.990 0.742
-1.990 2.342 2.226
2.342 1.990 3.709
3.980 0.000 1.484
0.000 0.000 2.968
0.000 0.000 0.000
0.000 3.980 1.484
```

Values from the calculation:
symmetry: I-42d


Entry 3:
# YTaRh2

A relaxed structure of YTaRh2 (PBE, Alexandria via LeMat-Bulk).

Cell and atoms, written as POSCAR:
```
YTaRh2
1.0
3.153 0.000 0.000
0.000 3.228 0.000
0.000 0.000 7.262
Y Ta Rh
1 1 2
Cartesian
0.000 0.000 0.000
0.000 0.000 3.631
1.576 1.614 2.140
1.576 1.614 5.122
```

Values from the calculation:
symmetry: Pmmm


Entry 4:
# YTa2Rh

A relaxed structure of YTa2Rh (PBE, Alexandria via LeMat-Bulk).

Cell and atoms, written as POSCAR:
```
YTa2Rh
1.0
2.735 -4.950 0.000
2.735 4.950 0.000
-0.962 0.000 2.807
Y Ta Rh
1 2 1
Cartesian
0.000 0.000 0.000
0.886 2.475 1.403
0.886 -2.475 1.403
2.735 0.000 0.000
```

Values from the calculation:
symmetry: C2/m


Entry 5:
# YTa2Rh2

A relaxed structure of YTa2Rh2 (PBE, Alexandria via LeMat-Bulk).

Cell and atoms, written as POSCAR:
```
YTa2Rh2
1.0
-2.215 2.215 5.217
2.215 -2.215 5.217
2.215 2.215 -5.217
Y Ta Rh
1 2 2
Cartesian
0.000 0.000 0.000
2.215 0.000 2.608
0.000 2.215 2.608
0.000 0.000 3.907
0.000 0.000 6.527
```

Values from the calculation:
symmetry: I4/mmm


Entry 6:
# YTa3Rh

A relaxed structure of YTa3Rh (PBE, Alexandria via LeMat-Bulk).

Cell and atoms, written as POSCAR:
```
YTa3Rh
1.0
4.837 0.000 0.000
0.000 4.837 0.000
0.000 0.000 4.837
Y Ta Rh
1 3 1
Cartesian
0.000 0.000 0.000
0.000 0.000 2.418
0.000 2.418 0.000
2.418 0.000 0.000
2.418 2.418 2.418
```

Values from the calculation:
symmetry: Pm-3m


Entry 7:
# YTa4Rh

A relaxed structure of YTa4Rh (PBE, Alexandria via LeMat-Bulk).

Cell and atoms, written as POSCAR:
```
YTa4Rh
1.0
0.000 3.916 3.916
3.916 0.000 3.916
3.916 3.916 0.000
Y Ta Rh
1 4 1
Cartesian
0.000 0.000 0.000
2.931 2.931 2.931
4.901 4.901 2.931
4.901 2.931 4.901
2.931 4.901 4.901
5.874 5.874 5.874
```

Values from the calculation:
symmetry: F-43m


Entry 8:
# YTaRh2

A relaxed structure of YTaRh2 (PBE, Alexandria via LeMat-Bulk).

Cell and atoms, written as POSCAR:
```
YTaRh2
1.0
3.118 0.000 0.000
0.000 4.644 0.000
-1.003 0.000 5.029
Y Ta Rh
1 1 2
Cartesian
0.000 0.000 0.000
0.120 2.322 2.844
1.557 2.322 0.532
1.543 0.000 2.416
```

Values from the calculation:
symmetry: Pm


Entry 9:
# YTaRh2

A relaxed structure of YTaRh2 (PBE, Alexandria via LeMat-Bulk).

Cell and atoms, written as POSCAR:
```
YTaRh2
1.0
4.842 0.000 0.000
0.000 4.842 0.000
0.000 0.000 3.058
Y Ta Rh
1 1 2
Cartesian
0.000 0.000 0.000
2.421 2.421 0.000
0.000 2.421 1.529
2.421 0.000 1.529
```

Values from the calculation:
symmetry: P4/mmm


Entry 10:
# YTaRh

A relaxed structure of YTaRh (PBE, Alexandria via LeMat-Bulk).

Cell and atoms, written as POSCAR:
```
YTaRh
1.0
3.225 0.000 0.000
-1.612 2.793 0.000
0.000 0.000 6.808
Y Ta Rh
1 1 1
Cartesian
0.000 0.000 0.000
0.000 1.862 4.223
1.612 0.931 2.387
```

Values from the calculation:
symmetry: P3m1


Entry 11:
# YTaRh2

A relaxed structure of YTaRh2 (PBE, Alexandria via LeMat-Bulk).

Cell and atoms, written as POSCAR:
```
YTaRh2
1.0
-3.639 3.639 3.010
3.639 -3.639 3.010
3.639 3.639 -3.010
Y Ta Rh
2 2 4
Cartesian
0.000 0.000 0.000
0.000 3.639 1.505
3.639 0.000 1.505
0.000 0.000 3.010
1.820 2.101 -0.753
5.177 1.820 0.753
1.820 1.538 2.258
-1.538 1.820 3.763
```

Values from the calculation:
symmetry: I-42d


Entry 12:
# YTaRh2

A relaxed structure of YTaRh2 (PBE, Alexandria via LeMat-Bulk).

Cell and atoms, written as POSCAR:
```
YTaRh2
1.0
3.847 -1.573 0.000
3.847 1.573 0.000
-1.003 0.000 6.436
Y Ta Rh
1 1 2
Cartesian
0.000 0.000 0.000
3.346 0.000 3.218
1.183 0.000 4.539
5.509 0.000 1.897
```

Values from the calculation:
symmetry: C2/m


For each record above, in turn, the calculated calculated formation energy values are 166.6, 311.2, -597.6, 85.0, -425.0, 2517.0, 226.4, -505.9, -484.2, -10.9, -195.7, -330.1 meV per atom.